A geometry-optimized CoPPd3 structure, computed with PBEsol.

The structure in CIF format:
```
data_CoPPd3
_cell_length_a 4.4394
_cell_length_b 4.4394
_cell_length_c 4.4394
_cell_angle_alpha 90.00
_cell_angle_beta 90.00
_cell_angle_gamma 90.00
_space_group_name_H-M_alt 'P m -3 m'
_space_group_IT_number 221
_space_group_name_Hall '-P 4 2 3'
loop_
_atom_site_label
_atom_site_type_symbol
_atom_site_fract_x
_atom_site_fract_y
_atom_site_fract_z
_atom_site_occupancy
Co1 Co 0.0000 0.0000 0.0000 1
P1 P 0.5000 0.5000 0.5000 1
Pd1 Pd 0.0000 0.0000 0.5000 1
```

## Properties
The calculation puts the density at 7.77 Mg/m³. For the energy of formation, the calculation gives 1.0608 eV/atom. Its total energy is -26.10 eV per cell. For the magnetization, the calculation gives 3.0 μB/f.u. Its density of states at the Fermi level is 5.0 states/eV per cell.